A relaxed ZrZnSb2 crystal, computed with PBEsol.

Geometry as POSCAR:
```
ZrZnSb2
1.0
3.195 0.000 0.000
-1.597 2.767 0.000
0.000 0.000 32.078
Zr Zn Sb
3 3 6
Direct
0.000 0.000 0.000
0.333 0.667 0.667
0.667 0.333 0.333
0.000 0.000 0.263
0.333 0.667 0.929
0.667 0.333 0.596
0.000 0.000 0.526
0.000 0.000 0.743
0.333 0.667 0.192
0.333 0.667 0.410
0.667 0.333 0.077
0.667 0.333 0.859
```

Properties
As for the density of states at the Fermi level: 0.57 states/eV per atom. The final energy is -19.857 eV/f.u. Its crystal system is trigonal. As for the space group: R3m. Its volume is 23.63 Å³ per atom.